(1)
LiMnPt | PBE | relaxed

POSCAR file:
```
LiMnPt
1.0
4.7489 -1.4557 0.0000
4.7489 1.4557 0.0000
-1.3170 0.0000 5.6135
Li Mn Pt
2 2 2
Direct
0.0000 0.0000 0.0000 Li
0.6192 0.6192 0.7805 Li
0.3188 0.3188 0.6454 Mn
0.9136 0.9136 0.4675 Mn
0.3048 0.3048 0.0776 Pt
0.6246 0.6246 0.3542 Pt
```

Calculated values
V = 38.81 Å³/f.u.
DFT formation energy = -0.253 eV/f.u.
Fermi-level density of states = 2.1 states/eV/f.u.



(2)
Li2MnPt | PBE | relaxed

POSCAR file:
```
Li2MnPt
1.0
0.0000 2.9984 2.9984
2.9984 0.0000 2.9984
2.9984 2.9984 0.0000
Li Mn Pt
2 1 1
Direct
0.2500 0.2500 0.2500 Li
0.7500 0.7500 0.7500 Li
0.0000 0.0000 0.0000 Mn
0.5000 0.5000 0.5000 Pt
```

Calculated values
V = 53.91 Å³/f.u.
DFT formation energy = -0.678 eV/f.u.
Fermi-level density of states = 3.8 states/eV/f.u.



(3)
Li2MnPt | PBE | relaxed

POSCAR file:
```
Li2MnPt
1.0
-3.4073 3.4073 2.4098
3.4073 -3.4073 2.4098
3.4073 3.4073 -2.4098
Li Mn Pt
4 2 2
Direct
0.1215 0.6250 0.9965 Li
0.3750 0.3715 0.4965 Li
0.6285 0.1250 0.0035 Li
0.8750 0.8785 0.5035 Li
0.2500 0.7500 0.5000 Mn
0.5000 0.5000 0.0000 Mn
0.0000 0.0000 0.0000 Pt
0.7500 0.2500 0.5000 Pt
```

Calculated values
V = 55.95 Å³/f.u.
DFT formation energy = 1.865 eV/f.u.
Fermi-level density of states = 4.8 states/eV/f.u.



(4)
Li2MnPt | PBE | relaxed

POSCAR file:
```
Li2MnPt
1.0
2.7719 0.0000 0.0000
0.0000 3.9735 0.0000
0.0000 0.0000 5.2495
Li Mn Pt
2 1 1
Direct
0.0000 0.0000 0.2283 Li
0.0000 0.0000 0.7717 Li
0.5000 0.5000 0.5000 Mn
0.5000 0.5000 0.0000 Pt
```

Calculated values
V = 57.82 Å³/f.u.
DFT formation energy = -0.667 eV/f.u.
Fermi-level density of states = 2.3 states/eV/f.u.



(5)
LiMnPt | PBE | relaxed

POSCAR file:
```
LiMnPt
1.0
2.7519 0.0000 0.0000
0.0000 3.8808 0.0000
0.0000 0.0000 8.0458
Li Mn Pt
2 2 2
Direct
0.0000 0.0000 0.0000 Li
0.0000 0.0000 0.3136 Li
0.0000 0.0000 0.6632 Mn
0.5000 0.5000 0.4867 Mn
0.5000 0.5000 0.1667 Pt
0.5000 0.5000 0.8156 Pt
```

Calculated values
V = 42.96 Å³/f.u.
DFT formation energy = -0.649 eV/f.u.
Fermi-level density of states = 1.8 states/eV/f.u.



(6)
Li2MnPt | PBE | relaxed

POSCAR file:
```
Li2MnPt
1.0
-2.1630 2.1630 3.0693
2.1630 -2.1630 3.0693
2.1630 2.1630 -3.0693
Li Mn Pt
2 1 1
Direct
0.0000 0.0000 0.0000 Li
0.7500 0.2500 0.5000 Li
0.5000 0.5000 0.0000 Mn
0.2500 0.7500 0.5000 Pt
```

Calculated values
V = 57.44 Å³/f.u.
DFT formation energy = -1.206 eV/f.u.
Fermi-level density of states = 1.7 states/eV/f.u.